# SrPrReN4

A relaxed SrPrReN4 crystal (PBE, Alexandria).

DFT total energy in eV per atom: -8.094
Crystal system: tetragonal
Density of states at the Fermi level in states/eV/atom: 0.368
Theoretical density in g cm⁻³: 7.85
Total magnetization in μB per cell: 0.00
Formation energy from raw total energies in eV per atom: -0.64

Unit cell a=7.0374 b=7.0374 c=7.0374 alpha=147.63 beta=147.63 gamma=46.43
With the nearest neighbours (Å) after each atom.
Positions (direct):
Sr: 0.0000 0.0000 0.0000  1 N 2.47
Pr: 0.7067 0.7067 0.0000  9 N 2.59-2.78
Re: 0.3562 0.3562 0.0000  6 N 1.95-2.14
N: 0.1911 0.1911 0.0000  1 Re 2.14
N: 0.3466 0.8466 0.5000  2 Re 1.97
N: 0.5068 0.5068 0.0000  1 Re 1.95
N: 0.8466 0.3466 0.5000  2 Re 1.97